[1]
Density functional theory data (PBE-GGA) for crystalline Tb2Cu2Rh at its relaxed geometry.

Geometry as POSCAR:
```
Tb2Cu2Rh
1.0
-1.307 -1.466 3.458
-3.355 -4.139 -0.736
7.597 -6.555 2.379
Tb Cu Rh
4 4 2
Cartesian
4.569 -8.228 5.100 Tb
0.640 -4.529 2.895 Tb
-1.634 -3.932 0.002 Tb
2.295 -7.630 2.206 Tb
3.160 -4.796 1.448 Cu
-0.226 -7.364 3.653 Cu
3.137 -10.290 3.684 Cu
-0.203 -1.870 1.417 Cu
4.044 -5.782 3.651 Rh
-1.109 -6.378 1.451 Rh
```

The space group is C2/m (12). As for the energy: -54.031 eV/cell. The calculation puts the formation energy at -2.2 eV/f.u. The total magnetization comes out at 0.000 μB per formula unit. For the density of states at the Fermi level, the calculation gives 2.8 states/eV/f.u.


[2]
Density functional theory data (PBE-GGA) for crystalline Ac2Mg7 at its relaxed geometry.

Geometry as POSCAR:
```
Ac2Mg7
1.0
6.130 0.000 1.255
2.936 5.381 1.255
0.014 0.008 15.531
Mg Ac
14 4
Cartesian
2.465 3.289 11.328 Mg
3.533 2.097 13.937 Mg
3.065 0.000 0.627 Mg
1.468 2.690 0.627 Mg
2.529 1.501 3.246 Mg
3.538 2.100 6.083 Mg
6.615 2.100 6.713 Mg
5.546 3.292 4.104 Mg
5.012 4.801 6.713 Mg
4.068 0.588 11.328 Mg
4.540 2.694 9.020 Mg
5.541 3.289 11.958 Mg
6.551 3.888 14.795 Mg
4.533 2.690 1.255 Mg
7.698 4.569 9.191 Ac
1.382 0.820 8.850 Ac
0.488 0.289 13.216 Ac
8.592 5.099 4.824 Ac
```

The space group is R-3m (166). As for the energy: -40.281 eV/cell. The calculation puts the formation energy at -0.8 eV/f.u. The total magnetization comes out at 0.000 μB per formula unit. For the density of states at the Fermi level, the calculation gives 6.9 states/eV/f.u.


[3]
Density functional theory data (PBE-GGA) for crystalline PmMgPPt at its relaxed geometry.

Geometry as POSCAR:
```
PmMgPPt
1.0
-4.305 -2.209 0.350
-1.592 -1.541 4.316
-3.714 2.253 2.161
Pt Pm P Mg
1 1 1 1
Cartesian
0.000 0.000 0.000 Pt
-2.403 -0.374 1.707 Pm
-4.805 -0.748 3.414 P
-7.208 -1.123 5.121 Mg
```

The space group is F-43m (216). As for the energy: -20.963 eV/cell. The calculation puts the formation energy at -3.2 eV/f.u. The total magnetization comes out at 0.000 μB per formula unit. For the density of states at the Fermi level, the calculation gives 0.5 states/eV/f.u.


[4]
Density functional theory data (PBE-GGA) for crystalline Cu2Te at its relaxed geometry.

Geometry as POSCAR:
```
Cu2Te
1.0
5.456 0.000 0.000
0.000 5.456 0.000
0.000 0.000 4.513
Cu Te
4 2
Cartesian
0.915 0.915 0.000 Cu
4.540 4.540 0.000 Cu
1.813 3.643 2.257 Cu
3.643 1.813 2.257 Cu
0.000 0.000 2.257 Te
2.728 2.728 0.000 Te
```

The space group is P4_2/mnm (136). As for the energy: -21.272 eV/cell. The total magnetization comes out at 0.000 μB per formula unit. The value obtained for the formation energy (no corrections) is 0.233 eV per atom. For the density of states at the Fermi level, the calculation gives 0.3 states/eV/f.u.


Among the records above, which one has the lowest energy? Tb2Cu2Rh


energy of number 2 (Ac2Mg7)? -40.281 eV/cell